Entry 1:
The following is a DFT calculation (meta-GGA SCAN) of a PBEsol-optimized structure of Ta2SiRu.

Calculated values
As for the space-group type: P4/mmm, No. 123.

POSCAR file:
```
Ta2SiRu
1.0
3.936 0.000 0.000
0.000 3.936 0.000
0.000 0.000 3.925
Ta Si Ru
2 1 1
Cartesian
0.000 1.968 0.000
1.968 0.000 0.000
0.000 0.000 1.962
1.968 1.968 1.962
```

Entry 2:
The following is a DFT calculation (meta-GGA SCAN) of a PBEsol-optimized structure of Tb2Si5Ru3.

Calculated values
As for the space-group type: Ibam, No. 72.

POSCAR file:
```
Tb2Si5Ru3
1.0
-4.774 6.015 2.779
4.774 -6.015 2.779
4.774 6.015 -2.779
Tb Si Ru
4 10 6
Cartesian
2.218 1.632 0.000
2.218 -1.632 2.779
2.556 7.647 0.000
2.556 4.383 2.779
4.774 -2.497 1.389
6.393 1.146 0.000
0.000 0.000 1.389
1.618 4.869 0.000
4.774 2.497 1.389
0.000 3.519 1.389
3.156 1.146 2.779
0.000 0.000 4.168
-1.618 4.869 2.779
0.000 8.512 1.389
3.894 -4.256 2.779
4.774 0.000 1.389
3.894 4.256 0.000
0.881 1.759 2.779
0.000 6.015 1.389
0.881 10.271 0.000
```

Entry 3:
The following is a DFT calculation (meta-GGA SCAN) of a PBEsol-optimized structure of TbSi2Ru2.

Calculated values
As for the space-group type: I4/mmm, No. 139.

POSCAR file:
```
TbSi2Ru2
1.0
-2.067 2.067 4.755
2.067 -2.067 4.755
2.067 2.067 -4.755
Tb Si Ru
1 2 2
Cartesian
0.000 0.000 0.000
0.000 0.000 3.510
0.000 0.000 5.999
2.067 0.000 2.377
0.000 2.067 2.377
```

Entry 4:
The following is a DFT calculation (meta-GGA SCAN) of a PBEsol-optimized structure of TbSiRu.

Calculated values
As for the space-group type: Pnma, No. 62.

POSCAR file:
```
TbSiRu
1.0
6.957 0.000 0.000
0.000 4.321 0.000
0.000 0.000 6.963
Tb Si Ru
4 4 4
Cartesian
0.124 1.080 1.284
3.355 3.241 4.765
3.603 1.080 2.197
6.833 3.241 5.679
1.351 1.080 4.231
2.128 3.241 0.750
4.829 1.080 6.213
5.607 3.241 2.731
1.057 3.241 3.014
2.422 1.080 6.496
4.535 3.241 0.467
5.901 1.080 3.948
```

Entry 5:
The following is a DFT calculation (meta-GGA SCAN) of a PBEsol-optimized structure of Si2TcRu.

Calculated values
As for the space-group type: F-43m, No. 216.

POSCAR file:
```
Si2TcRu
1.0
0.000 2.995 2.995
2.995 0.000 2.995
2.995 2.995 0.000
Si Tc Ru
2 1 1
Cartesian
0.000 0.000 0.000
1.497 1.497 1.497
4.492 4.492 4.492
2.995 2.995 2.995
```

Entry 6:
The following is a DFT calculation (meta-GGA SCAN) of a PBEsol-optimized structure of SiTcRu2.

Calculated values
As for the space-group type: P4/mmm, No. 123.

POSCAR file:
```
SiTcRu2
1.0
2.811 0.000 0.000
0.000 2.811 0.000
0.000 0.000 6.545
Si Tc Ru
1 1 2
Cartesian
0.000 0.000 0.000
0.000 0.000 3.272
1.406 1.406 1.459
1.406 1.406 5.085
```

Entry 7:
The following is a DFT calculation (meta-GGA SCAN) of a PBEsol-optimized structure of SiTcRu2.

Calculated values
As for the space-group type: Pmm2, No. 25.

POSCAR file:
```
SiTcRu2
1.0
2.764 0.000 0.000
0.000 3.769 0.000
0.000 0.000 5.137
Si Tc Ru
1 1 2
Cartesian
0.000 0.000 0.000
1.382 1.884 1.477
0.000 0.000 2.536
1.382 1.884 4.176
```

Entry 8:
The following is a DFT calculation (meta-GGA SCAN) of a PBEsol-optimized structure of Si2TcRu.

Calculated values
As for the space-group type: P4/mmm, No. 123.

POSCAR file:
```
Si2TcRu
1.0
2.923 0.000 0.000
0.000 2.923 0.000
0.000 0.000 5.856
Si Tc Ru
2 1 1
Cartesian
0.000 0.000 1.455
0.000 0.000 4.401
1.462 1.462 0.000
1.462 1.462 2.928
```

Entry 9:
The following is a DFT calculation (meta-GGA SCAN) of a PBEsol-optimized structure of SiTcRu2.

Calculated values
As for the space-group type: Immm, No. 71.

POSCAR file:
```
SiTcRu2
1.0
-1.426 2.146 4.256
1.426 -2.146 4.256
1.426 2.146 -4.256
Si Tc Ru
1 1 2
Cartesian
0.000 0.000 0.000
0.000 0.000 4.256
1.426 0.000 1.911
0.000 2.146 2.345
```

Entry 10:
The following is a DFT calculation (meta-GGA SCAN) of a PBEsol-optimized structure of Si2TcRu.

Calculated values
As for the space-group type: Cmm2, No. 35.

POSCAR file:
```
Si2TcRu
1.0
1.469 -2.269 0.000
1.469 2.269 0.000
0.000 0.000 8.142
Si Tc Ru
2 1 1
Cartesian
0.000 0.000 0.000
1.469 0.000 2.106
1.469 0.000 6.199
0.000 0.000 3.970
```

Entry 11:
The following is a DFT calculation (meta-GGA SCAN) of a PBEsol-optimized structure of SiTcRu2.

Calculated values
As for the space-group type: F-43m, No. 216.

POSCAR file:
```
SiTcRu2
1.0
0.000 2.980 2.980
2.980 0.000 2.980
2.980 2.980 0.000
Si Tc Ru
1 1 2
Cartesian
0.000 0.000 0.000
4.469 4.469 4.469
1.490 1.490 1.490
2.980 2.980 2.980
```

Entry 12:
The following is a DFT calculation (meta-GGA SCAN) of a PBEsol-optimized structure of SiTc4Ru.

Calculated values
As for the space-group type: F-43m, No. 216.

POSCAR file:
```
SiTc4Ru
1.0
0.000 3.517 3.517
3.517 0.000 3.517
3.517 3.517 0.000
Si Tc Ru
1 4 1
Cartesian
0.000 0.000 0.000
4.399 2.636 2.636
2.636 4.399 2.636
2.636 2.636 4.399
4.399 4.399 4.399
1.759 1.759 1.759
```

Number 1: E_form (uncorrected) -0.30 eV per atom, raw total energy -44.807 eV/atom, DOS at the Fermi energy 0.63 states/eV per atom. Number 2: E_form (uncorrected) -0.91 eV per atom, raw total energy -25.717 eV/atom, DOS at the Fermi energy 0.21 states/eV per atom. Number 3: E_form (uncorrected) -1.00 eV per atom, raw total energy -28.285 eV/atom, DOS at the Fermi energy 0.50 states/eV per atom. Number 4: E_form (uncorrected) -0.89 eV per atom, raw total energy -31.426 eV/atom, DOS at the Fermi energy 0.78 states/eV per atom. Number 5: E_form (uncorrected) 0.14 eV per atom, raw total energy -22.341 eV/atom, DOS at the Fermi energy 0.63 states/eV per atom. Number 6: E_form (uncorrected) -0.40 eV per atom, raw total energy -29.078 eV/atom, DOS at the Fermi energy 0.54 states/eV per atom. Number 7: E_form (uncorrected) -0.15 eV per atom, raw total energy -28.835 eV/atom, DOS at the Fermi energy 0.81 states/eV per atom. Number 8: E_form (uncorrected) -0.63 eV per atom, raw total energy -23.111 eV/atom, DOS at the Fermi energy 0.48 states/eV per atom. Number 9: E_form (uncorrected) -0.31 eV per atom, raw total energy -28.993 eV/atom, DOS at the Fermi energy 0.67 states/eV per atom. Number 10: E_form (uncorrected) 0.22 eV per atom, raw total energy -22.260 eV/atom, DOS at the Fermi energy 0.85 states/eV per atom. Number 11: E_form (uncorrected) -0.10 eV per atom, raw total energy -28.786 eV/atom, DOS at the Fermi energy 0.52 states/eV per atom. Number 12: E_form (uncorrected) 0.49 eV per atom, raw total energy -30.356 eV/atom, DOS at the Fermi energy 1.00 states/eV per atom.